Record 1
VASP calculation (GGA-PBE) on a geometry-optimized Pt5Au structure.

a = 2.8172 Å, b = 2.8172 Å, c = 12.1354 Å
α = 90.00°, β = 90.00°, γ = 90.00°
Closest atoms and distances in Å follow each position.
Sites, in units of the cell vectors:
Pt1 0.0000 0.0000 0.0000  12 Pt 2.80-2.82
Pt2 0.0000 0.0000 0.3253  8 Pt 2.81-2.82, 4 Au 2.91
Pt3 0.0000 0.0000 0.6747  8 Pt 2.81-2.82, 4 Au 2.91
Pt4 0.5000 0.5000 0.1625  12 Pt 2.80-2.82
Pt5 0.5000 0.5000 0.8375  12 Pt 2.80-2.82
Au1 0.5000 0.5000 0.5000  4 Au 2.82, 8 Pt 2.91

Properties
As for the total magnetization: 0.0 μB per formula unit. As for the crystal system: tetragonal. Its total energy is -33.42 eV/cell. The value obtained for the calculated volume is 16.1 A^3/atom. The calculation puts the energy relative to the elements at 11 meV per atom. As for the energy above the most stable polymorph in this dataset: 0 meV per atom.

Record 2
VASP calculation (GGA-PBE) on a geometry-optimized PtAu5 structure.

a = 10.8458 Å, b = 2.9434 Å, c = 6.9555 Å
α = 90.00°, β = 107.30°, γ = 90.00°
Closest atoms and distances in Å follow each position.
Sites, in units of the cell vectors:
Pt1 0.0000 0.0000 0.0000  10 Au 2.86-2.97, 2 Pt 2.94
Pt2 0.5000 0.5000 0.0000  10 Au 2.86-2.97, 2 Pt 2.94
Au1 0.1107 0.5000 0.7311  10 Au 2.88-3.02, 2 Pt 2.91
Au2 0.1649 0.5000 0.3294  2 Pt 2.86, 10 Au 2.92-3.02
Au3 0.2823 0.0000 0.0588  9 Au 2.87-2.96, 3 Pt 2.91-2.97
Au4 0.3329 0.0000 0.6687  2 Pt 2.88, 10 Au 2.91-2.97
Au5 0.4466 0.5000 0.3916  11 Au 2.87-2.97, 1 Pt 2.95
Au6 0.6107 0.0000 0.7311  10 Au 2.88-3.02, 2 Pt 2.91
Au7 0.6649 0.0000 0.3294  2 Pt 2.86, 10 Au 2.92-3.02
Au8 0.7823 0.5000 0.0588  9 Au 2.87-2.96, 3 Pt 2.91-2.97
Au9 0.8329 0.5000 0.6687  2 Pt 2.88, 10 Au 2.91-2.97
Au10 0.9466 0.0000 0.3916  11 Au 2.87-2.97, 1 Pt 2.95

Properties
As for the total magnetization: 0.0 μB per formula unit. As for the crystal system: monoclinic. Its total energy is -44.45 eV/cell. The value obtained for the calculated volume is 17.7 A^3/atom. The calculation puts the energy relative to the elements at 34 meV per atom. As for the energy above the most stable polymorph in this dataset: 14 meV per atom.

Repeat the first record exactly.
VASP calculation (GGA-PBE) on a geometry-optimized Pt5Au structure.

a = 2.8172 Å, b = 2.8172 Å, c = 12.1354 Å
α = 90.00°, β = 90.00°, γ = 90.00°
Closest atoms and distances in Å follow each position.
Sites, in units of the cell vectors:
Pt1 0.0000 0.0000 0.0000  12 Pt 2.80-2.82
Pt2 0.0000 0.0000 0.3253  8 Pt 2.81-2.82, 4 Au 2.91
Pt3 0.0000 0.0000 0.6747  8 Pt 2.81-2.82, 4 Au 2.91
Pt4 0.5000 0.5000 0.1625  12 Pt 2.80-2.82
Pt5 0.5000 0.5000 0.8375  12 Pt 2.80-2.82
Au1 0.5000 0.5000 0.5000  4 Au 2.82, 8 Pt 2.91

Properties
As for the total magnetization: 0.0 μB per formula unit. As for the crystal system: tetragonal. Its total energy is -33.42 eV/cell. The value obtained for the calculated volume is 16.1 A^3/atom. The calculation puts the energy relative to the elements at 11 meV per atom. As for the energy above the most stable polymorph in this dataset: 0 meV per atom.

Question: energy relative to the elements of number 1 (Pt5Au)?
Answer: 11 meV per atom

Question: Which value of energy relative to the elements does entry 2 give?
Answer: 34 meV per atom